# 1
First-principles (meta-GGA SCAN) data for a PBEsol-optimized structure of K3LiGa, as listed in the Alexandria database.

```
5
Lattice="6.495 0.000 0.000 0.000 6.495 0.000 0.000 0.000 6.495" Properties=species:S:1:pos:R:3 pbc="T T T"
K 0.000 3.248 0.000
K 0.000 0.000 3.248
K 3.248 0.000 0.000
Ga 0.000 0.000 0.000
Li 3.248 3.248 3.248
```

* DFT formation energy: 0.30 eV/atom

=====

# 2
First-principles (meta-GGA SCAN) data for a PBEsol-optimized structure of TaTiV2, as listed in the Alexandria database.

```
4
Lattice="4.392 0.000 0.000 2.196 3.804 0.000 2.196 1.268 3.586" Properties=species:S:1:pos:R:3 pbc="T T T"
V 2.196 1.268 0.897
V 6.588 3.804 2.690
Ti 4.392 2.536 1.793
Ta 0.000 0.000 0.000
```

* DFT formation energy: 0.07 eV/atom

=====

# 3
First-principles (meta-GGA SCAN) data for a PBEsol-optimized structure of TeIrI2O, as listed in the Alexandria database.

```
5
Lattice="-2.981 2.858 -1.351 -3.226 -1.784 3.345 1.645 3.298 3.346" Properties=species:S:1:pos:R:3 pbc="T T T"
I 0.823 1.649 1.673
I -1.613 -0.892 1.672
Ir -2.281 2.186 2.670
Te -1.491 1.429 -0.676
O 0.000 0.000 0.000
```

* ΔE_f (raw): 1329 meV per atom

=====

# 4
First-principles (meta-GGA SCAN) data for a PBEsol-optimized structure of Y3FeNi, as listed in the Alexandria database.

```
5
Lattice="-2.475 2.966 -3.101 -3.753 0.240 3.225 2.081 3.960 2.128" Properties=species:S:1:pos:R:3 pbc="T T T"
Y -1.876 0.120 1.612
Y 1.041 1.980 1.064
Y -1.237 1.483 -1.550
Ni -2.073 3.583 1.126
Fe 0.000 0.000 0.000
```

* DFT formation energy: 0.44 eV/atom

=====

# 5
First-principles (meta-GGA SCAN) data for a PBEsol-optimized structure of HRhNF2, as listed in the Alexandria database.

```
5
Lattice="-1.059 -2.702 0.148 2.696 -1.067 -0.189 0.412 0.122 5.190" Properties=species:S:1:pos:R:3 pbc="T T T"
H 0.000 0.000 0.000
N 0.206 0.061 2.595
Rh 1.025 -1.824 2.574
F 1.348 -0.534 -0.095
F -0.530 -1.351 0.074
```

* VASP energy: -10.5034 eV/atom

=====

# 6
First-principles (meta-GGA SCAN) data for a PBEsol-optimized structure of TeAs, as listed in the Alexandria database.

```
8
Lattice="4.538 0.000 0.000 -2.269 3.930 0.000 0.000 0.000 11.119" Properties=species:S:1:pos:R:3 pbc="T T T"
As 0.000 0.000 8.339
As 0.000 0.000 2.780
As 2.269 1.310 2.780
As 0.000 2.620 8.339
Te 2.269 1.310 10.225
Te 0.000 2.620 4.665
Te 0.000 2.620 0.894
Te 2.269 1.310 6.454
```

* ΔE_f (raw): 387 meV per atom

=====

# 7
First-principles (meta-GGA SCAN) data for a PBEsol-optimized structure of AgPb2, as listed in the Alexandria database.

```
3
Lattice="-0.595 3.386 -0.639 -0.618 -1.314 3.181 6.738 1.552 1.950" Properties=species:S:1:pos:R:3 pbc="T T T"
Pb 1.474 2.298 1.235
Pb 4.052 1.327 3.257
Ag 0.000 0.000 0.000
```

* DFT formation energy: 0.11 eV/atom

=====

# 8
First-principles (meta-GGA SCAN) data for a PBEsol-optimized structure of ZnCd2Te, as listed in the Alexandria database.

```
4
Lattice="4.940 0.000 0.000 -2.470 4.527 -0.084 0.000 -2.618 4.190" Properties=species:S:1:pos:R:3 pbc="T T T"
Cd 2.470 1.609 1.005
Cd 0.000 0.300 3.100
Te 2.470 -1.309 2.095
Zn 0.000 0.000 0.000
```

* ΔE_f (raw): 200 meV per atom

=====

# 9
First-principles (meta-GGA SCAN) data for a PBEsol-optimized structure of Fe2SiBr, as listed in the Alexandria database.

```
4
Lattice="-0.070 3.085 -0.775 -1.769 -0.827 -3.132 -5.032 0.561 2.693" Properties=species:S:1:pos:R:3 pbc="T T T"
Br -1.782 1.226 -1.492
Fe -4.492 2.040 1.998
Fe -5.130 0.060 0.706
Si -3.014 0.336 1.613
```

* ΔE_f (raw): 289 meV per atom

=====

# 10
First-principles (meta-GGA SCAN) data for a PBEsol-optimized structure of Pr2Mn4Co13, as listed in the Alexandria database.

```
19
Lattice="6.198 -0.032 -0.028 0.737 6.154 -0.028 0.737 0.651 6.120" Properties=species:S:1:pos:R:3 pbc="T T T"
Pr 4.988 4.404 3.942
Pr 2.691 2.376 2.127
Mn 7.291 6.437 3.036
Mn 7.291 3.727 6.063
Mn 4.602 6.773 6.063
Mn 0.740 0.653 0.584
Co 3.029 5.042 6.086
Co 5.378 6.312 1.695
Co 6.930 2.187 4.340
Co 3.029 6.605 4.340
Co 6.930 4.555 1.695
Co 5.378 2.381 6.086
Co 3.003 2.652 5.265
Co 3.003 5.525 2.055
Co 5.854 2.295 2.055
Co 4.667 4.120 0.821
Co 4.667 1.270 4.005
Co 1.839 4.474 4.005
Co 6.915 6.105 5.465
```

* DFT formation energy: 0.07 eV/atom

=====

# 11
First-principles (meta-GGA SCAN) data for a PBEsol-optimized structure of Zr3AsH, as listed in the Alexandria database.

```
5
Lattice="4.292 0.000 0.000 0.000 4.292 0.000 0.000 0.000 4.292" Properties=species:S:1:pos:R:3 pbc="T T T"
H 0.000 0.000 0.000
As 2.146 2.146 2.146
Zr 0.000 2.146 0.000
Zr 0.000 0.000 2.146
Zr 2.146 0.000 0.000
```

* VASP energy: -23.6882 eV/atom

=====

# 12
First-principles (meta-GGA SCAN) data for a PBEsol-optimized structure of Sr2CaAs, as listed in the Alexandria database.

```
4
Lattice="4.779 0.000 0.000 0.000 5.121 0.000 0.000 0.000 5.121" Properties=species:S:1:pos:R:3 pbc="T T T"
Sr 0.000 0.000 2.561
Sr 0.000 2.561 0.000
As 2.390 2.561 2.561
Ca 2.390 0.000 0.000
```

* DFT formation energy: -0.40 eV/atom

=====

# 13
First-principles (meta-GGA SCAN) data for a PBEsol-optimized structure of TlMo2Os, as listed in the Alexandria database.

```
4
Lattice="-2.721 -0.281 -0.890 0.557 -4.886 -0.159 -0.162 0.779 4.900" Properties=species:S:1:pos:R:3 pbc="T T T"
Mo -2.307 -4.259 3.753
Mo -0.327 -3.320 2.051
Os -1.106 -2.743 -0.400
Tl -1.992 -1.038 1.771
```

* DFT formation energy: 0.57 eV/atom

=====

# 14
First-principles (meta-GGA SCAN) data for a PBEsol-optimized structure of CdSb3Pt, as listed in the Alexandria database.

```
5
Lattice="-3.894 1.321 -3.282 2.927 -1.538 -4.092 -1.987 -4.854 0.403" Properties=species:S:1:pos:R:3 pbc="T T T"
Sb 1.463 -0.769 -2.046
Sb -0.994 -2.427 0.202
Sb -1.947 0.661 -1.641
Pt -1.477 -2.535 -3.485
Cd 0.000 0.000 0.000
```

* ΔE_f (raw): 1287 meV per atom

=====

# 15
First-principles (meta-GGA SCAN) data for a PBEsol-optimized structure of KSiN2, as listed in the Alexandria database.

```
4
Lattice="3.793 0.000 0.000 1.896 3.285 0.000 1.896 1.095 6.662" Properties=species:S:1:pos:R:3 pbc="T T T"
K 3.793 2.190 3.331
Si 0.000 0.000 0.000
N 5.689 3.285 1.620
N 1.896 1.095 5.042
```

* ΔE_f (raw): 514 meV per atom

=====

# 16
First-principles (meta-GGA SCAN) data for a PBEsol-optimized structure of LaCr2Ag, as listed in the Alexandria database.

```
4
Lattice="3.034 0.000 0.000 0.000 3.034 0.000 0.000 0.000 7.694" Properties=species:S:1:pos:R:3 pbc="T T T"
Ag 1.517 1.517 6.184
Cr 0.000 0.000 0.316
Cr 1.517 1.517 1.346
La 0.000 0.000 3.695
```

* DFT formation energy: 0.19 eV/atom

=====

# 17
First-principles (meta-GGA SCAN) data for a PBEsol-optimized structure of Mg2Tl3, as listed in the Alexandria database.

```
5
Lattice="-1.887 1.976 -2.108 -1.892 -1.453 -2.493 -10.694 -0.669 6.119" Properties=species:S:1:pos:R:3 pbc="T T T"
Tl 0.000 0.000 0.000
Tl -4.963 -0.157 1.471
Tl -9.510 0.011 0.048
Mg -4.344 0.185 -1.587
Mg -10.129 -0.332 3.106
```

* DFT formation energy: -0.07 eV/atom

=====

# 18
First-principles (meta-GGA SCAN) data for a PBEsol-optimized structure of LiCuOs2, as listed in the Alexandria database.

```
4
Lattice="2.700 0.000 0.000 0.000 4.410 0.000 0.000 0.000 4.423" Properties=species:S:1:pos:R:3 pbc="T T T"
Cu 1.350 0.000 2.212
Li 0.000 2.205 2.212
Os 0.000 0.000 0.000
Os 1.350 2.205 0.000
```

* DFT formation energy: 0.29 eV/atom

=====

# 19
First-principles (meta-GGA SCAN) data for a PBEsol-optimized structure of ScTl2Br, as listed in the Alexandria database.

```
4
Lattice="-2.474 3.439 0.485 -3.085 -2.450 1.631 4.799 0.259 3.895" Properties=species:S:1:pos:R:3 pbc="T T T"
Br -2.780 0.494 1.058
Sc 0.000 0.000 0.000
Tl -0.227 2.096 2.719
Tl -0.533 -0.848 3.292
```

* ΔE_f (raw): -230 meV per atom

=====

# 20
First-principles (meta-GGA SCAN) data for a PBEsol-optimized structure of MnNiIr2, as listed in the Alexandria database.

```
4
Lattice="-1.072 -2.406 -0.458 0.490 -1.032 4.274 -4.000 1.852 -0.366" Properties=species:S:1:pos:R:3 pbc="T T T"
Ir 0.245 -0.516 2.137
Ir -2.000 0.926 -0.183
Mn -0.536 -1.203 -0.229
Ni -2.291 -0.793 1.725
```

* DFT formation energy: -0.22 eV/atom

=====

# 21
First-principles (meta-GGA SCAN) data for a PBEsol-optimized structure of Zr2TaMo, as listed in the Alexandria database.

```
4
Lattice="2.803 0.000 0.000 0.000 4.823 0.000 0.000 0.000 5.573" Properties=species:S:1:pos:R:3 pbc="T T T"
Mo 0.000 0.000 2.838
Ta 1.401 2.412 4.124
Zr 0.000 0.000 5.558
Zr 1.401 2.412 1.412
```

* DFT formation energy: 0.27 eV/atom

=====

# 22
First-principles (meta-GGA SCAN) data for a PBEsol-optimized structure of CoCuRh2, as listed in the Alexandria database.

```
4
Lattice="-0.652 -1.465 2.066 1.590 -0.120 2.072 -3.629 6.028 4.783" Properties=species:S:1:pos:R:3 pbc="T T T"
Rh 0.921 -1.557 4.152
Rh -1.976 3.262 6.654
Co -1.336 2.205 4.452
Cu -0.709 1.171 2.261
```

* DFT formation energy: 0.10 eV/atom

=====

# 23
First-principles (meta-GGA SCAN) data for a PBEsol-optimized structure of Pb3WS, as listed in the Alexandria database.

```
5
Lattice="5.302 0.000 0.000 0.000 5.302 0.000 0.000 0.000 5.302" Properties=species:S:1:pos:R:3 pbc="T T T"
Pb 0.000 2.651 0.000
Pb 0.000 0.000 2.651
Pb 2.651 0.000 0.000
S 0.000 0.000 0.000
W 2.651 2.651 2.651
```

* ΔE_f (raw): 1381 meV per atom

=====

# 24
First-principles (meta-GGA SCAN) data for a PBEsol-optimized structure of LaAl33O51, as listed in the Alexandria database.

```
85
Lattice="-7.874 1.084 5.584 -0.549 -4.602 8.569 2.167 9.190 6.912" Properties=species:S:1:pos:R:3 pbc="T T T"
La 1.083 4.595 3.456
Al -5.612 -2.351 9.442
Al -5.901 -0.263 11.473
Al -7.303 -0.832 13.812
Al -4.556 4.177 16.691
Al 0.000 0.000 0.000
Al -1.339 0.402 9.334
Al -2.753 -2.256 7.816
Al 1.553 5.688 12.364
Al 0.128 3.046 10.828
Al -5.615 2.041 7.185
Al -5.355 8.281 10.515
Al -0.353 1.993 1.981
Al -0.642 3.632 13.880
Al -3.503 7.929 13.249
Al -6.385 2.626 10.237
Al -4.917 5.270 11.731
Al -7.810 -0.015 8.701
Al -3.372 -1.402 11.028
Al -1.700 1.495 4.374
Al -3.154 4.750 14.325
Al 1.046 6.504 7.253
Al -5.697 5.898 14.754
Al -2.148 6.442 6.996
Al -0.709 9.069 8.491
Al -4.999 1.205 4.005
Al -2.812 -1.167 4.711
Al -3.560 3.832 5.501
Al -0.560 -0.226 6.311
Al -0.355 5.935 9.592
Al -3.102 0.923 6.740
Al -2.885 7.074 10.037
Al -4.503 0.326 9.092
Al -1.753 5.347 11.972
O -4.814 4.331 14.911
O -7.727 -0.997 11.862
O -5.652 -0.392 13.259
O -5.172 6.104 16.729
O -0.304 -0.328 8.113
O -6.185 1.819 5.248
O -0.424 1.448 10.391
O -1.221 -2.825 8.624
O -6.529 3.671 7.098
O -6.244 3.587 17.258
O -3.618 8.953 10.094
O -7.492 1.260 7.437
O -5.369 1.927 8.982
O -4.629 6.569 10.508
O -0.887 3.746 12.083
O -1.628 -0.897 10.557
O -3.876 -1.629 9.082
O 1.235 4.412 13.628
O -5.833 4.224 10.674
O -6.288 -0.583 9.481
O -5.036 8.498 12.441
O -2.090 1.321 2.402
O -0.012 2.085 3.807
O -4.250 0.167 10.873
O -1.344 5.507 13.910
O 0.821 6.603 5.398
O -5.228 -2.186 11.279
O 0.477 8.455 7.248
O -2.541 3.085 4.238
O -2.280 3.173 14.455
O -5.953 6.001 12.952
O -6.756 1.354 11.372
O -1.084 -0.432 4.336
O -3.829 6.681 14.507
O -2.854 5.137 6.248
O -2.776 5.078 16.310
O -3.480 0.594 4.755
O 1.470 6.670 9.203
O -0.605 6.065 7.806
O -1.443 1.341 6.154
O -2.428 -1.009 6.558
O 0.499 4.319 9.693
O -3.167 7.189 8.259
O -3.977 2.500 6.610
O -1.028 7.859 9.786
O 0.031 6.256 11.584
O -4.912 0.165 7.155
O -2.007 5.505 10.192
O -2.836 0.838 8.550
O -2.381 7.302 11.983
O -3.421 4.834 12.515
```

* ΔE_f (raw): -3335 meV per atom